No. 1
This record from Alexandria describes crystalline AlAg6 at its relaxed geometry. The functional is PBE.

Summary:
- distance to the lowest polymorph of the same formula (meV per atom) = 841

abc: 7.5068 7.5068 7.5068
angles: 90.00 90.00 90.00
With the nearest neighbours (Å) after each atom.
Atoms (fractional coordinates):
Al  0.0000  0.0000  0.0000  24 Ag 4.20
Al  0.5000  0.5000  0.5000  24 Ag 4.20
Ag  0.0000  0.2500  0.5000  4 Ag 2.65
Ag  0.0000  0.5000  0.2500  4 Ag 2.65
Ag  0.0000  0.5000  0.7500  4 Ag 2.65
Ag  0.0000  0.7500  0.5000  4 Ag 2.65
Ag  0.2500  0.0000  0.5000  4 Ag 2.65
Ag  0.2500  0.5000  0.0000  4 Ag 2.65
Ag  0.5000  0.0000  0.2500  4 Ag 2.65
Ag  0.5000  0.0000  0.7500  4 Ag 2.65
Ag  0.5000  0.2500  0.0000  4 Ag 2.65
Ag  0.5000  0.7500  0.0000  4 Ag 2.65
Ag  0.7500  0.0000  0.5000  4 Ag 2.65
Ag  0.7500  0.5000  0.0000  4 Ag 2.65

***

No. 2
This record from Alexandria describes crystalline Fe3Cu2Pd4 at its relaxed geometry. The functional is PBE.

Summary:
- E (eV per atom) = -6.064

abc: 6.8060 6.8060 8.9263
angles: 128.92 128.92 22.98
With the nearest neighbours (Å) after each atom.
Atoms (fractional coordinates):
Fe  0.0000  0.0000  0.0000  6 Pd 2.62-2.75, 2 Fe 2.71, 4 Cu 2.72
Fe  0.3650  0.3650  0.4020  7 Pd 2.63-2.74, 2 Cu 2.67, 3 Fe 2.71-2.82
Fe  0.6350  0.6350  0.5980  7 Pd 2.63-2.74, 2 Cu 2.67, 3 Fe 2.71-2.82
Cu  0.2977  0.2977  0.9320  4 Pd 2.61-2.68, 4 Cu 2.63-2.71, 4 Fe 2.67-2.72
Cu  0.7023  0.7023  0.0680  4 Pd 2.61-2.68, 4 Cu 2.63-2.71, 4 Fe 2.67-2.72
Pd  0.0391  0.0391  0.7331  5 Fe 2.63-2.75, 3 Cu 2.68, 4 Pd 2.71-2.80
Pd  0.3338  0.3338  0.6768  1 Cu 2.61, 5 Fe 2.62-2.74, 6 Pd 2.71-2.80
Pd  0.6662  0.6662  0.3232  1 Cu 2.61, 5 Fe 2.62-2.74, 6 Pd 2.71-2.80
Pd  0.9609  0.9609  0.2669  5 Fe 2.63-2.75, 3 Cu 2.68, 4 Pd 2.71-2.80

***

No. 3
This record from Alexandria describes crystalline BaYAg2 at its relaxed geometry. The functional is PBE.

Summary:
- distance to the lowest polymorph of the same formula (meV per atom) = 334

abc: 7.4750 7.4750 7.4750
angles: 90.00 90.00 90.00
With the nearest neighbours (Å) after each atom.
Atoms (fractional coordinates):
Ba  0.0000  0.0000  0.0000  4 Ag 3.24, 4 Y 3.24
Ba  0.0000  0.5000  0.5000  4 Ag 3.24, 4 Y 3.24
Ba  0.5000  0.0000  0.5000  4 Ag 3.24, 4 Y 3.24
Ba  0.5000  0.5000  0.0000  4 Ag 3.24, 4 Y 3.24
Y  0.2500  0.2500  0.2500  4 Ba 3.24, 4 Ag 3.24
Y  0.2500  0.7500  0.7500  4 Ba 3.24, 4 Ag 3.24
Y  0.7500  0.2500  0.7500  4 Ba 3.24, 4 Ag 3.24
Y  0.7500  0.7500  0.2500  4 Ba 3.24, 4 Ag 3.24
Ag  0.0000  0.0000  0.5000  4 Y 3.24, 4 Ag 3.24
Ag  0.0000  0.5000  0.0000  4 Y 3.24, 4 Ag 3.24
Ag  0.2500  0.2500  0.7500  4 Ba 3.24, 4 Ag 3.24
Ag  0.2500  0.7500  0.2500  4 Ag 3.24, 4 Ba 3.24
Ag  0.5000  0.0000  0.0000  4 Y 3.24, 4 Ag 3.24
Ag  0.5000  0.5000  0.5000  4 Y 3.24, 4 Ag 3.24
Ag  0.7500  0.2500  0.2500  4 Ag 3.24, 4 Ba 3.24
Ag  0.7500  0.7500  0.7500  4 Ag 3.24, 4 Ba 3.24

***

No. 4
This record from Alexandria describes crystalline Sc2Mo at its relaxed geometry. The functional is PBE.

Summary:
- distance to the lowest polymorph of the same formula (meV per atom) = 530

abc: 6.0235 6.0235 7.6007
angles: 90.00 90.00 120.00
With the nearest neighbours (Å) after each atom.
Atoms (fractional coordinates):
Sc  0.0000  0.0000  0.0000  6 Sc 2.68
Sc  0.0000  0.0000  0.5000  6 Sc 2.68
Sc  0.1818  0.3635  0.2500  4 Sc 2.68-2.74
Sc  0.1818  0.8182  0.2500  4 Sc 2.68-2.74
Sc  0.3635  0.1818  0.7500  4 Sc 2.68-2.74
Sc  0.6365  0.8182  0.2500  4 Sc 2.68-2.74
Sc  0.8182  0.1818  0.7500  4 Sc 2.68-2.74
Sc  0.8182  0.6365  0.7500  4 Sc 2.68-2.74
Mo  0.3333  0.6667  0.5918  1 Mo 2.40
Mo  0.3333  0.6667  0.9082  1 Mo 2.40
Mo  0.6667  0.3333  0.0918  1 Mo 2.40
Mo  0.6667  0.3333  0.4082  1 Mo 2.40

***

No. 5
This record from Alexandria describes crystalline Ba8GePt3I4 at its relaxed geometry. The functional is PBE.

Summary:
- ΔE_f (raw) (eV per atom) = -1.1209

abc: 10.2012 10.2012 10.2012
angles: 54.96 54.96 54.96
With the nearest neighbours (Å) after each atom.
Atoms (fractional coordinates):
Ba  0.2271  0.7353  0.7353  2 Pt 3.19, 1 Ge 3.25
Ba  0.2363  0.2363  0.2363  3 Pt 3.26
Ba  0.2647  0.2647  0.7729  2 Pt 3.19, 1 Ge 3.25
Ba  0.2647  0.7729  0.2647  2 Pt 3.19, 1 Ge 3.25
Ba  0.7353  0.2271  0.7353  2 Pt 3.19, 1 Ge 3.25
Ba  0.7353  0.7353  0.2271  2 Pt 3.19, 1 Ge 3.25
Ba  0.7637  0.7637  0.7637  3 Pt 3.26
Ba  0.7729  0.2647  0.2647  2 Pt 3.19, 1 Ge 3.25
Ge  0.5000  0.5000  0.5000  6 Ba 3.25
Pt  0.0000  0.0000  0.5000  6 Ba 3.19-3.26
Pt  0.0000  0.5000  0.0000  6 Ba 3.19-3.26
Pt  0.5000  0.0000  0.0000  6 Ba 3.19-3.26
I  0.0000  0.0000  0.0000  6 Ba 3.74
I  0.0000  0.5000  0.5000  6 Ba 3.70-3.78
I  0.5000  0.0000  0.5000  6 Ba 3.70-3.78
I  0.5000  0.5000  0.0000  6 Ba 3.70-3.78

***

No. 6
This record from Alexandria describes crystalline Ti2InCu at its relaxed geometry. The functional is PBE.

Summary:
- E (eV per atom) = -5.741

abc: 4.0193 4.0193 4.1858
angles: 90.00 90.00 90.00
With the nearest neighbours (Å) after each atom.
Atoms (fractional coordinates):
Ti  0.0000  0.5000  0.0000  4 Ti 2.84, 4 Cu 2.90, 4 In 2.90
Ti  0.5000  0.0000  0.0000  4 Ti 2.84, 4 Cu 2.90, 4 In 2.90
In  0.0000  0.0000  0.5000  4 Cu 2.84, 8 Ti 2.90
Cu  0.5000  0.5000  0.5000  4 In 2.84, 8 Ti 2.90

***

No. 7
This record from Alexandria describes crystalline BaSn2Pd at its relaxed geometry. The functional is PBE.

Summary:
- E (eV per atom) = -4.378

abc: 8.9562 7.5479 6.5184
angles: 90.00 90.00 90.00
With the nearest neighbours (Å) after each atom.
Atoms (fractional coordinates):
Ba  0.0359  0.2500  0.1123  3 Pd 3.33-3.68, 6 Sn 3.46-3.73
Ba  0.4641  0.7500  0.6123  3 Pd 3.33-3.68, 6 Sn 3.46-3.73
Ba  0.5359  0.2500  0.3877  3 Pd 3.33-3.68, 6 Sn 3.46-3.73
Ba  0.9641  0.7500  0.8877  3 Pd 3.33-3.68, 6 Sn 3.46-3.73
Sn  0.1761  0.0559  0.6019  3 Pd 2.83-3.07, 1 Sn 2.93
Sn  0.1761  0.4441  0.6019  3 Pd 2.83-3.07, 1 Sn 2.93
Sn  0.3239  0.5559  0.1019  3 Pd 2.83-3.07, 1 Sn 2.93
Sn  0.3239  0.9441  0.1019  3 Pd 2.83-3.07, 1 Sn 2.93
Sn  0.6761  0.0559  0.8981  3 Pd 2.83-3.07, 1 Sn 2.93
Sn  0.6761  0.4441  0.8981  3 Pd 2.83-3.07, 1 Sn 2.93
Sn  0.8239  0.5559  0.3981  3 Pd 2.83-3.07, 1 Sn 2.93
Sn  0.8239  0.9441  0.3981  3 Pd 2.83-3.07, 1 Sn 2.93
Pd  0.0934  0.7500  0.3675  6 Sn 2.83-3.07
Pd  0.4066  0.2500  0.8675  6 Sn 2.83-3.07
Pd  0.5934  0.7500  0.1325  6 Sn 2.83-3.07
Pd  0.9066  0.2500  0.6325  6 Sn 2.83-3.07

***

No. 8
This record from Alexandria describes crystalline K3AlPt at its relaxed geometry. The functional is PBE.

Summary:
- distance to the lowest polymorph of the same formula (meV per atom) = 0

abc: 6.1476 6.1476 6.1476
angles: 90.00 90.00 90.00
With the nearest neighbours (Å) after each atom.
Atoms (fractional coordinates):
K  0.0000  0.0000  0.5000  2 Pt 3.07
K  0.0000  0.5000  0.0000  2 Pt 3.07
K  0.5000  0.0000  0.0000  2 Pt 3.07
Al  0.5000  0.5000  0.5000  12 K 4.35
Pt  0.0000  0.0000  0.0000  6 K 3.07

***

Copy entry 3 word for word.
This record from Alexandria describes crystalline BaYAg2 at its relaxed geometry. The functional is PBE.

Summary:
- distance to the lowest polymorph of the same formula (meV per atom) = 334

abc: 7.4750 7.4750 7.4750
angles: 90.00 90.00 90.00
With the nearest neighbours (Å) after each atom.
Atoms (fractional coordinates):
Ba  0.0000  0.0000  0.0000  4 Ag 3.24, 4 Y 3.24
Ba  0.0000  0.5000  0.5000  4 Ag 3.24, 4 Y 3.24
Ba  0.5000  0.0000  0.5000  4 Ag 3.24, 4 Y 3.24
Ba  0.5000  0.5000  0.0000  4 Ag 3.24, 4 Y 3.24
Y  0.2500  0.2500  0.2500  4 Ba 3.24, 4 Ag 3.24
Y  0.2500  0.7500  0.7500  4 Ba 3.24, 4 Ag 3.24
Y  0.7500  0.2500  0.7500  4 Ba 3.24, 4 Ag 3.24
Y  0.7500  0.7500  0.2500  4 Ba 3.24, 4 Ag 3.24
Ag  0.0000  0.0000  0.5000  4 Y 3.24, 4 Ag 3.24
Ag  0.0000  0.5000  0.0000  4 Y 3.24, 4 Ag 3.24
Ag  0.2500  0.2500  0.7500  4 Ba 3.24, 4 Ag 3.24
Ag  0.2500  0.7500  0.2500  4 Ag 3.24, 4 Ba 3.24
Ag  0.5000  0.0000  0.0000  4 Y 3.24, 4 Ag 3.24
Ag  0.5000  0.5000  0.5000  4 Y 3.24, 4 Ag 3.24
Ag  0.7500  0.2500  0.2500  4 Ag 3.24, 4 Ba 3.24
Ag  0.7500  0.7500  0.7500  4 Ag 3.24, 4 Ba 3.24